Here is a relaxed structure of Ta2CuSi from the Alexandria database. Energies are from GGA-PBE.

Energy: -33.68 eV per cell
Total magnetization: 0.00 μB per cell
SG: Cm, No. 8

a b c (Å): 5.0872 5.0872 4.7408
angles (deg): 73.11 73.11 31.39
Closest atoms and distances in Å follow each position.
Fractional positions:
Cu 0.4750 0.4750 0.4697  2 Si 2.48, 5 Ta 2.74-2.76, 2 Cu 2.75
Si 0.7753 0.7753 0.7812  2 Cu 2.48, 5 Ta 2.74-2.75, 2 Si 2.75
Ta 0.0205 0.0205 0.9442  3 Si 2.74-2.75, 3 Ta 2.75-3.03, 4 Cu 2.76-2.79
Ta 0.2291 0.2291 0.3049  3 Cu 2.74-2.75, 3 Ta 2.75-3.03, 4 Si 2.75-2.80